i) The following is a DFT calculation (GGA-PBE) of HfInNiPt after structural relaxation.

Cell lengths 6.4916, 6.4916, 6.4916 Å; angles 90.00, 90.00, 90.00 degrees
With the nearest neighbours (Å) after each atom.
Fractional positions:
Hf1 0.0000 0.0000 0.0000  4 Pt 2.81, 4 In 2.81
Hf2 0.0000 0.5000 0.5000  4 Pt 2.81, 4 In 2.81
Hf3 0.5000 0.0000 0.5000  4 Pt 2.81, 4 In 2.81
Hf4 0.5000 0.5000 0.0000  4 Pt 2.81, 4 In 2.81
In1 0.2500 0.2500 0.2500  4 Hf 2.81, 4 Ni 2.81
In2 0.2500 0.7500 0.7500  4 Hf 2.81, 4 Ni 2.81
In3 0.7500 0.2500 0.7500  4 Hf 2.81, 4 Ni 2.81
In4 0.7500 0.7500 0.2500  4 Hf 2.81, 4 Ni 2.81
Ni1 0.0000 0.0000 0.5000  4 In 2.81, 4 Pt 2.81
Ni2 0.0000 0.5000 0.0000  4 In 2.81, 4 Pt 2.81
Ni3 0.5000 0.0000 0.0000  4 In 2.81, 4 Pt 2.81
Ni4 0.5000 0.5000 0.5000  4 In 2.81, 4 Pt 2.81
Pt1 0.2500 0.2500 0.7500  4 Hf 2.81, 4 Ni 2.81
Pt2 0.2500 0.7500 0.2500  4 Hf 2.81, 4 Ni 2.81
Pt3 0.7500 0.2500 0.2500  4 Hf 2.81, 4 Ni 2.81
Pt4 0.7500 0.7500 0.7500  4 Hf 2.81, 4 Ni 2.81

Properties
**Spin magnetization**: 0.0 μB per formula unit
**Space group**: F-43m (216)


ii) The following is a DFT calculation (GGA-PBE) of HfInNiPt after structural relaxation.

Cell lengths 6.4375, 6.4375, 6.4375 Å; angles 90.00, 90.00, 90.00 degrees
With the nearest neighbours (Å) after each atom.
Fractional positions:
Hf1 0.0000 0.0000 0.0000  4 Ni 2.79, 4 Pt 2.79
Hf2 0.0000 0.5000 0.5000  4 Ni 2.79, 4 Pt 2.79
Hf3 0.5000 0.0000 0.5000  4 Ni 2.79, 4 Pt 2.79
Hf4 0.5000 0.5000 0.0000  4 Ni 2.79, 4 Pt 2.79
In1 0.0000 0.0000 0.5000  4 Pt 2.79, 4 Ni 2.79
In2 0.0000 0.5000 0.0000  4 Pt 2.79, 4 Ni 2.79
In3 0.5000 0.0000 0.0000  4 Pt 2.79, 4 Ni 2.79
In4 0.5000 0.5000 0.5000  4 Pt 2.79, 4 Ni 2.79
Ni1 0.2500 0.2500 0.7500  4 In 2.79, 4 Hf 2.79
Ni2 0.2500 0.7500 0.2500  4 In 2.79, 4 Hf 2.79
Ni3 0.7500 0.2500 0.2500  4 In 2.79, 4 Hf 2.79
Ni4 0.7500 0.7500 0.7500  4 In 2.79, 4 Hf 2.79
Pt1 0.2500 0.2500 0.2500  4 Hf 2.79, 4 In 2.79
Pt2 0.2500 0.7500 0.7500  4 Hf 2.79, 4 In 2.79
Pt3 0.7500 0.2500 0.7500  4 Hf 2.79, 4 In 2.79
Pt4 0.7500 0.7500 0.2500  4 Hf 2.79, 4 In 2.79

Properties
**Spin magnetization**: 0.0 μB per formula unit
**Space group**: F-43m (216)


On energetic grounds, ii) is preferred over the next structure by 289 meV per atom.


i) The following is a DFT calculation (GGA-PBE) of HfInPO after structural relaxation.

Cell lengths 4.3443, 4.3443, 7.2611 Å; angles 90.00, 90.00, 90.00 degrees
With the nearest neighbours (Å) after each atom.
Fractional positions:
Hf1 0.2500 0.7500 0.0000  4 P 2.55
Hf2 0.7500 0.2500 0.0000  4 P 2.55
In1 0.2500 0.2500 0.3876  4 O 2.32
In2 0.7500 0.7500 0.6124  4 O 2.32
P1 0.2500 0.2500 0.8153  4 Hf 2.55
P2 0.7500 0.7500 0.1847  4 Hf 2.55
O1 0.2500 0.7500 0.5000  4 In 2.32
O2 0.7500 0.2500 0.5000  4 In 2.32

Properties
**Spin magnetization**: 0.0 μB per formula unit
**Space group**: P4/nmm (129)


ii) The following is a DFT calculation (GGA-PBE) of HfInPO after structural relaxation.

Cell lengths 3.8874, 6.8044, 7.1138 Å; angles 90.00, 90.00, 90.00 degrees
With the nearest neighbours (Å) after each atom.
Fractional positions:
Hf1 0.0000 0.1212 0.0000  2 O 1.96-1.98
Hf2 0.0000 0.8788 0.5000  2 O 1.96-1.98
In1 0.5000 0.2770 0.5711  2 P 2.66-2.72
In2 0.5000 0.7230 0.0711  2 P 2.66-2.72
P1 0.5000 0.3541 0.9466  2 Hf 2.54, 2 In 2.66-2.72
P2 0.5000 0.6459 0.4466  2 Hf 2.54, 2 In 2.66-2.72
O1 0.0000 0.0251 0.2623  2 Hf 1.96-1.98
O2 0.0000 0.9749 0.7623  2 Hf 1.96-1.98

Properties
**Spin magnetization**: 0.0 μB per formula unit
**Space group**: Pmc2_1 (26)


On energetic grounds, ii) is preferred over the next structure by 456 meV per atom.


i) The following is a DFT calculation (GGA-PBE) of HfInPO after structural relaxation.

Cell lengths 3.8773, 7.9944, 5.2842 Å; angles 90.00, 90.00, 90.00 degrees
With the nearest neighbours (Å) after each atom.
Fractional positions:
Hf1 0.0000 0.1385 0.0000  2 O 1.99
Hf2 0.0000 0.8615 0.5000  2 O 1.99
In1 0.5000 0.3978 0.5312  2 P 2.60
In2 0.5000 0.6022 0.0312  2 P 2.60
P1 0.0000 0.1813 0.4970  3 Hf 2.56-2.68, 2 In 2.60
P2 0.0000 0.8187 0.9970  3 Hf 2.56-2.68, 2 In 2.60
O1 0.5000 0.1967 0.9961  2 Hf 1.99
O2 0.5000 0.8033 0.4961  2 Hf 1.99

Properties
**Spin magnetization**: 0.0 μB per formula unit
**Space group**: Pmc2_1 (26)


ii) The following is a DFT calculation (GGA-PBE) of HfInPO after structural relaxation.

Cell lengths 3.7691, 3.7691, 9.9724 Å; angles 90.00, 90.00, 90.00 degrees
With the nearest neighbours (Å) after each atom.
Fractional positions:
Hf1 0.2500 0.2500 0.1174  4 O 2.22
Hf2 0.7500 0.7500 0.8826  4 O 2.22
In1 0.2500 0.7500 0.5000  4 In 2.67
In2 0.7500 0.2500 0.5000  4 In 2.67
P1 0.2500 0.2500 0.7521  4 Hf 2.97, 4 O 3.11, 4 In 3.14
P2 0.7500 0.7500 0.2479  4 Hf 2.97, 4 O 3.11, 4 In 3.14
O1 0.2500 0.7500 0.0000  4 Hf 2.22
O2 0.7500 0.2500 0.0000  4 Hf 2.22

Properties
**Spin magnetization**: 0.0 μB per formula unit
**Space group**: P4/nmm (129)


On energetic grounds, i) is preferred over the next structure by 166 meV per atom.


i) The following is a DFT calculation (GGA-PBE) of HfPaIn after structural relaxation.

Cell lengths 7.0059, 7.0059, 7.0059 Å; angles 90.00, 90.00, 90.00 degrees
With the nearest neighbours (Å) after each atom.
Fractional positions:
Hf1 0.0000 0.0000 0.0000  4 In 3.03
Hf2 0.0000 0.5000 0.5000  4 In 3.03
Hf3 0.5000 0.0000 0.5000  4 In 3.03
Hf4 0.5000 0.5000 0.0000  4 In 3.03
Pa1 0.0000 0.0000 0.5000  4 In 3.03
Pa2 0.0000 0.5000 0.0000  4 In 3.03
Pa3 0.5000 0.0000 0.0000  4 In 3.03
Pa4 0.5000 0.5000 0.5000  4 In 3.03
In1 0.2500 0.2500 0.2500  4 Hf 3.03, 4 Pa 3.03
In2 0.2500 0.7500 0.7500  4 Hf 3.03, 4 Pa 3.03
In3 0.7500 0.2500 0.7500  4 Hf 3.03, 4 Pa 3.03
In4 0.7500 0.7500 0.2500  4 Hf 3.03, 4 Pa 3.03

Properties
**Spin magnetization**: 1.3 μB per formula unit
**Space group**: F-43m (216)


ii) The following is a DFT calculation (GGA-PBE) of HfPaIn after structural relaxation.

Cell lengths 7.1237, 7.1237, 7.1237 Å; angles 90.00, 90.00, 90.00 degrees
With the nearest neighbours (Å) after each atom.
Fractional positions:
Hf1 0.0000 0.0000 0.0000  4 Pa 3.08
Hf2 0.0000 0.5000 0.5000  4 Pa 3.08
Hf3 0.5000 0.0000 0.5000  4 Pa 3.08
Hf4 0.5000 0.5000 0.0000  4 Pa 3.08
Pa1 0.2500 0.2500 0.2500  4 Hf 3.08, 4 In 3.08
Pa2 0.2500 0.7500 0.7500  4 Hf 3.08, 4 In 3.08
Pa3 0.7500 0.2500 0.7500  4 Hf 3.08, 4 In 3.08
Pa4 0.7500 0.7500 0.2500  4 Hf 3.08, 4 In 3.08
In1 0.0000 0.0000 0.5000  4 Pa 3.08
In2 0.0000 0.5000 0.0000  4 Pa 3.08
In3 0.5000 0.0000 0.0000  4 Pa 3.08
In4 0.5000 0.5000 0.5000  4 Pa 3.08

Properties
**Spin magnetization**: 1.9 μB per formula unit
**Space group**: F-43m (216)


On energetic grounds, i) is preferred over the next structure by 396 meV per atom.


i) The following is a DFT calculation (GGA-PBE) of PmHfIn after structural relaxation.

Cell lengths 7.0931, 7.0931, 7.0931 Å; angles 90.00, 90.00, 90.00 degrees
With the nearest neighbours (Å) after each atom.
Fractional positions:
Pm1 0.0000 0.0000 0.0000  4 In 3.07
Pm2 0.0000 0.5000 0.5000  4 In 3.07
Pm3 0.5000 0.0000 0.5000  4 In 3.07
Pm4 0.5000 0.5000 0.0000  4 In 3.07
Hf1 0.0000 0.0000 0.5000  4 In 3.07
Hf2 0.0000 0.5000 0.0000  4 In 3.07
Hf3 0.5000 0.0000 0.0000  4 In 3.07
Hf4 0.5000 0.5000 0.5000  4 In 3.07
In1 0.2500 0.2500 0.7500  4 Pm 3.07, 4 Hf 3.07
In2 0.2500 0.7500 0.2500  4 Pm 3.07, 4 Hf 3.07
In3 0.7500 0.2500 0.2500  4 Pm 3.07, 4 Hf 3.07
In4 0.7500 0.7500 0.7500  4 Pm 3.07, 4 Hf 3.07

Properties
**Spin magnetization**: 0.0 μB per formula unit
**Space group**: F-43m (216)


ii) The following is a DFT calculation (GGA-PBE) of PmHfIn after structural relaxation.

Cell lengths 7.2134, 7.2134, 7.2134 Å; angles 90.00, 90.00, 90.00 degrees
With the nearest neighbours (Å) after each atom.
Fractional positions:
Pm1 0.0000 0.0000 0.0000  4 Hf 3.12, 4 In 3.12
Pm2 0.0000 0.5000 0.5000  4 In 3.12, 4 Hf 3.12
Pm3 0.5000 0.0000 0.5000  4 In 3.12, 4 Hf 3.12
Pm4 0.5000 0.5000 0.0000  4 In 3.12, 4 Hf 3.12
Hf1 0.2500 0.2500 0.7500  4 Pm 3.12
Hf2 0.2500 0.7500 0.2500  4 Pm 3.12
Hf3 0.7500 0.2500 0.2500  4 Pm 3.12
Hf4 0.7500 0.7500 0.7500  4 Pm 3.12
In1 0.2500 0.2500 0.2500  4 Pm 3.12
In2 0.2500 0.7500 0.7500  4 Pm 3.12
In3 0.7500 0.2500 0.7500  4 Pm 3.12
In4 0.7500 0.7500 0.2500  4 Pm 3.12

Properties
**Spin magnetization**: 0.2 μB per formula unit
**Space group**: F-43m (216)


On energetic grounds, i) is preferred over the next structure by 521 meV per atom.


i) The following is a DFT calculation (GGA-PBE) of SmHfIn after structural relaxation.

Cell lengths 7.1877, 7.1877, 7.1877 Å; angles 90.00, 90.00, 90.00 degrees
With the nearest neighbours (Å) after each atom.
Fractional positions:
Sm1 0.0000 0.0000 0.0000  4 Hf 3.11, 4 In 3.11
Sm2 0.0000 0.5000 0.5000  4 Hf 3.11, 4 In 3.11
Sm3 0.5000 0.0000 0.5000  4 Hf 3.11, 4 In 3.11
Sm4 0.5000 0.5000 0.0000  4 Hf 3.11, 4 In 3.11
Hf1 0.2500 0.2500 0.7500  4 Sm 3.11
Hf2 0.2500 0.7500 0.2500  4 Sm 3.11
Hf3 0.7500 0.2500 0.2500  4 Sm 3.11
Hf4 0.7500 0.7500 0.7500  4 Sm 3.11
In1 0.2500 0.2500 0.2500  4 Sm 3.11
In2 0.2500 0.7500 0.7500  4 Sm 3.11
In3 0.7500 0.2500 0.7500  4 Sm 3.11
In4 0.7500 0.7500 0.2500  4 Sm 3.11

Properties
**Spin magnetization**: 0.7 μB per formula unit
**Space group**: F-43m (216)


ii) The following is a DFT calculation (GGA-PBE) of SmHfIn after structural relaxation.

Cell lengths 7.0754, 7.0754, 7.0754 Å; angles 90.00, 90.00, 90.00 degrees
With the nearest neighbours (Å) after each atom.
Fractional positions:
Sm1 0.0000 0.0000 0.0000  4 In 3.06
Sm2 0.0000 0.5000 0.5000  4 In 3.06
Sm3 0.5000 0.0000 0.5000  4 In 3.06
Sm4 0.5000 0.5000 0.0000  4 In 3.06
Hf1 0.0000 0.0000 0.5000  4 In 3.06
Hf2 0.0000 0.5000 0.0000  4 In 3.06
Hf3 0.5000 0.0000 0.0000  4 In 3.06
Hf4 0.5000 0.5000 0.5000  4 In 3.06
In1 0.2500 0.2500 0.7500  4 Hf 3.06, 4 Sm 3.06
In2 0.2500 0.7500 0.2500  4 Hf 3.06, 4 Sm 3.06
In3 0.7500 0.2500 0.2500  4 Hf 3.06, 4 Sm 3.06
In4 0.7500 0.7500 0.7500  4 Hf 3.06, 4 Sm 3.06

Properties
**Spin magnetization**: 0.1 μB per formula unit
**Space group**: F-43m (216)


On energetic grounds, ii) is preferred over the next structure by 526 meV per atom.


i) The following is a DFT calculation (GGA-PBE) of HfInTc after structural relaxation.

Cell lengths 6.4770, 6.4770, 6.4770 Å; angles 90.00, 90.00, 90.00 degrees
With the nearest neighbours (Å) after each atom.
Fractional positions:
Hf1 0.0000 0.0000 0.0000  4 In 2.80, 4 Tc 2.80
Hf2 0.0000 0.5000 0.5000  4 Tc 2.80, 4 In 2.80
Hf3 0.5000 0.0000 0.5000  4 Tc 2.80, 4 In 2.80
Hf4 0.5000 0.5000 0.0000  4 In 2.80, 4 Tc 2.80
In1 0.2500 0.2500 0.7500  4 Hf 2.80
In2 0.2500 0.7500 0.2500  4 Hf 2.80
In3 0.7500 0.2500 0.2500  4 Hf 2.80
In4 0.7500 0.7500 0.7500  4 Hf 2.80
Tc1 0.2500 0.2500 0.2500  4 Hf 2.80
Tc2 0.2500 0.7500 0.7500  4 Hf 2.80
Tc3 0.7500 0.2500 0.7500  4 Hf 2.80
Tc4 0.7500 0.7500 0.2500  4 Hf 2.80

Properties
**Spin magnetization**: 0.0 μB per formula unit
**Space group**: F-43m (216)


ii) The following is a DFT calculation (GGA-PBE) of HfInTc after structural relaxation.

Cell lengths 6.3999, 6.3999, 6.3999 Å; angles 90.00, 90.00, 90.00 degrees
With the nearest neighbours (Å) after each atom.
Fractional positions:
Hf1 0.0000 0.0000 0.0000  4 Tc 2.77
Hf2 0.0000 0.5000 0.5000  4 Tc 2.77
Hf3 0.5000 0.0000 0.5000  4 Tc 2.77
Hf4 0.5000 0.5000 0.0000  4 Tc 2.77
In1 0.0000 0.0000 0.5000  4 Tc 2.77
In2 0.0000 0.5000 0.0000  4 Tc 2.77
In3 0.5000 0.0000 0.0000  4 Tc 2.77
In4 0.5000 0.5000 0.5000  4 Tc 2.77
Tc1 0.2500 0.2500 0.2500  4 Hf 2.77, 4 In 2.77
Tc2 0.2500 0.7500 0.7500  4 Hf 2.77, 4 In 2.77
Tc3 0.7500 0.2500 0.7500  4 Hf 2.77, 4 In 2.77
Tc4 0.7500 0.7500 0.2500  4 Hf 2.77, 4 In 2.77

Properties
**Spin magnetization**: 0.0 μB per formula unit
**Space group**: F-43m (216)


On energetic grounds, ii) is preferred over the next structure by 481 meV per atom.


i) The following is a DFT calculation (GGA-PBE) of Hf2ZrIn2 after structural relaxation.

Cell lengths 4.1759, 4.1759, 13.0855 Å; angles 90.00, 90.00, 90.00 degrees
With the nearest neighbours (Å) after each atom.
Fractional positions:
Hf1 0.0000 0.5000 0.2500  4 In 2.88, 4 Hf 2.95
Hf2 0.0000 0.5000 0.7500  4 In 2.88, 4 Hf 2.95
Hf3 0.5000 0.0000 0.2500  4 In 2.88, 4 Hf 2.95
Hf4 0.5000 0.0000 0.7500  4 In 2.88, 4 Hf 2.95
Zr1 0.0000 0.0000 0.0000  8 In 3.22
Zr2 0.5000 0.5000 0.5000  8 In 3.22
In1 0.0000 0.0000 0.4017  1 In 2.57, 4 Hf 2.88
In2 0.0000 0.0000 0.5983  1 In 2.57, 4 Hf 2.88
In3 0.5000 0.5000 0.0983  1 In 2.57, 4 Hf 2.88
In4 0.5000 0.5000 0.9017  1 In 2.57, 4 Hf 2.88

Properties
**Spin magnetization**: 0.0 μB per formula unit
**Space group**: I4/mmm (139)


ii) The following is a DFT calculation (GGA-PBE) of Hf2ZrIn2 after structural relaxation.

Cell lengths 4.0878, 4.0878, 14.6975 Å; angles 90.00, 90.00, 90.00 degrees
With the nearest neighbours (Å) after each atom.
Fractional positions:
Hf1 0.0000 0.0000 0.0946  1 Hf 2.78, 4 In 3.07
Hf2 0.0000 0.0000 0.9054  1 Hf 2.78, 4 In 3.07
Hf3 0.5000 0.5000 0.4054  1 Hf 2.78, 4 In 3.07
Hf4 0.5000 0.5000 0.5946  1 Hf 2.78, 4 In 3.07
Zr1 0.0000 0.0000 0.5000  8 Hf 3.21
Zr2 0.5000 0.5000 0.0000  8 Hf 3.21
In1 0.0000 0.5000 0.2500  4 In 2.89, 4 Hf 3.07
In2 0.0000 0.5000 0.7500  4 In 2.89, 4 Hf 3.07
In3 0.5000 0.0000 0.2500  4 In 2.89, 4 Hf 3.07
In4 0.5000 0.0000 0.7500  4 In 2.89, 4 Hf 3.07

Properties
**Spin magnetization**: 0.0 μB per formula unit
**Space group**: I4/mmm (139)


On energetic grounds, i) is preferred over the next structure by 268 meV per atom.